Entry 1:
BaAgP2 | GGA-PBE | relaxed

Calculated values
- Size of the total moment: 0.0 μB per formula unit
- Crystal system: monoclinic
- Space group: C2/m, No. 12
- DFT total energy: -3.759 eV/atom
- Relative energy among the computed polymorphs: 0.624 eV per atom

abc: 5.4097 5.4097 3.2688
angles: 90.09 90.09 94.58
Sites, in units of the cell vectors:
Ba 0.0000 0.0000 0.0000
Ag 0.5000 0.5000 0.0000
P 0.0000 0.5000 0.5000
P 0.5000 0.0000 0.5000

---

Entry 2:
La2Pd4Pt3 | GGA-PBE | relaxed

Calculated values
- Size of the total moment: 0.0 μB per formula unit
- Crystal system: orthorhombic
- Space group: Fmmm, No. 69
- DFT total energy: -6.208 eV/atom

abc: 8.3729 7.4232 5.3996
angles: 79.83 60.77 39.40
Sites, in units of the cell vectors:
La 0.1348 0.1348 0.8652
La 0.8652 0.8652 0.1348
Pd 0.1630 0.4941 0.5059
Pd 0.4941 0.1630 0.8370
Pd 0.5059 0.8370 0.1630
Pd 0.8370 0.5059 0.4941
Pt 0.0000 0.0000 0.5000
Pt 0.5000 0.5000 0.0000
Pt 0.5000 0.5000 0.5000